! PBE with a Hubbard U LiCaNiF6, optimized geometry; values from VASP
&SYSTEM
  ibrav = 0, nat = 18, ntyp = 4
/
ATOMIC_SPECIES
Li 6.94 Li.upf
Ca 40.08 Ca.upf
Ni 58.69 Ni.upf
F 19.00 F.upf
ATOMIC_POSITIONS crystal
Li 0.3333 0.6667 0.2500
Li 0.6667 0.3333 0.7500
Ca 0.0000 0.0000 0.0000
Ca 0.0000 0.0000 0.5000
Ni 0.3333 0.6667 0.7500
Ni 0.6667 0.3333 0.2500
F 0.0188 0.3662 0.6403
F 0.0188 0.6526 0.8597
F 0.3474 0.3662 0.8597
F 0.3474 0.9812 0.6403
F 0.3662 0.0188 0.1403
F 0.3662 0.3474 0.3597
F 0.6338 0.6526 0.6403
F 0.6338 0.9812 0.8597
F 0.6526 0.0188 0.3597
F 0.6526 0.6338 0.1403
F 0.9812 0.3474 0.1403
F 0.9812 0.6338 0.3597
CELL_PARAMETERS angstrom
5.1511 0.0000 0.0000
-2.5756 4.4610 0.0000
0.0000 0.0000 9.8140
! - DFT total energy (eV/atom) = -4.73
! - offset from the most stable computed form (meV per atom) = 0
! - volume (Å³ per atom) = 12.53